No. 1
This record from Alexandria via LeMat-Bulk describes a geometry-optimized KBeP2S structure. The functional is PBE.

The calculation puts the polymorph energy (0 for the lowest one) at 1918 meV per atom. For the uncorrected formation energy, the calculation gives 2178 meV per atom.

The structure belongs to space group P4/mmm (No. 123); the cell edges are 5.362, 5.362 and 5.307 Å and the angles 90.00°, 90.00° and 90.00°. The distinct sites, in fractional coordinates, are K at (0.000, 0.000, 0.000), Be at (0.500, 0.500, 0.500), P at (0.000, 0.500, 0.000) and S at (0.000, 0.000, 0.500).


No. 2
This record from Alexandria via LeMat-Bulk describes a geometry-optimized KBeP2S8 structure. The functional is PBE.

For the uncorrected formation energy, the calculation gives -196 meV per atom.

The structure belongs to space group P-3 (No. 147); the cell edges are 5.4091, 5.4091 and 10.9559 Å and the angles 90.00°, 90.00° and 120.00°. The distinct sites, in fractional coordinates, are K at (0.0000, 0.0000, 0.0000), Be at (0.0000, 0.0000, 0.5000), P at (0.3333, 0.6667, 0.7094), S at (0.0278, 0.6966, 0.3608) and S at (0.3333, 0.6667, 0.8900).


No. 3
This record from Alexandria via LeMat-Bulk describes a geometry-optimized KBePS2 structure. The functional is PBE.

The calculation puts the polymorph energy (0 for the lowest one) at 1810 meV per atom. For the uncorrected formation energy, the calculation gives 1855 meV per atom.

The structure belongs to space group P4/mmm (No. 123); the cell edges are 6.090, 6.090 and 6.392 Å and the angles 90.00°, 90.00° and 90.00°. The distinct sites, in fractional coordinates, are K at (0.000, 0.000, 0.000), Be at (0.500, 0.500, 0.500), P at (0.000, 0.000, 0.500) and S at (0.000, 0.500, 0.000).